(1)
VASP calculation (PBEsol) on a relaxed structure of InSbIr2.

Geometry as POSCAR:
```
InSbIr2
1.0
6.058 0.000 0.000
0.000 6.058 0.000
-3.029 -3.029 5.519
Ir Sb In
4 2 2
Direct
0.888 0.375 0.250 Ir
0.125 0.112 0.750 Ir
0.625 0.638 0.750 Ir
0.362 0.875 0.250 Ir
0.000 0.000 0.000 Sb
0.250 0.750 0.500 Sb
0.750 0.250 0.500 In
0.500 0.500 0.000 In
```

## Properties
Its raw formation energy is 0.68 eV/atom. As for the total magnetization: 0.00 μB per atom. The energy above the lowest structure with this stoichiometry is 0.626 eV per atom.

=====

(2)
VASP calculation (PBEsol) on a relaxed structure of InSb2Ir.

Geometry as POSCAR:
```
InSb2Ir
1.0
6.367 0.000 0.000
0.000 6.367 0.000
-3.183 -3.183 5.890
Sb In Ir
4 2 2
Direct
0.625 0.674 0.750 Sb
0.125 0.076 0.750 Sb
0.924 0.375 0.250 Sb
0.326 0.875 0.250 Sb
0.500 0.500 0.000 In
0.750 0.250 0.500 In
0.250 0.750 0.500 Ir
0.000 0.000 0.000 Ir
```

## Properties
Its raw formation energy is 0.22 eV/atom. As for the total magnetization: 0.00 μB per atom.

=====

Calculated total energy list, top to bottom, in eV/atom: -6.113; -5.263